No. 1
Crystalline AsN2Cl at its relaxed geometry. Source: the Alexandria database, functional PBE-GGA.

Results
Formation energy from raw total energies   2298.3 meV/atom

```
AsN2Cl
1.0
0.000 2.862 2.862
2.862 0.000 2.862
2.862 2.862 0.000
Cl N As
1 2 1
Direct
0.000 0.000 0.000
0.250 0.250 0.250
0.750 0.750 0.750
0.500 0.500 0.500
```

No. 2
Crystalline ScP2Ir at its relaxed geometry. Source: the Alexandria database, functional PBE-GGA.

Results
Formation enthalpy at 0 K   -435 meV per atom

```
ScP2Ir
1.0
0.000 3.111 3.111
3.111 0.000 3.111
3.111 3.111 0.000
Ir Sc P
1 1 2
Direct
0.500 0.500 0.500
0.000 0.000 0.000
0.750 0.750 0.750
0.250 0.250 0.250
```

No. 3
Crystalline Ce5Cd2Ir2 at its relaxed geometry. Source: the Alexandria database, functional PBE-GGA.

Results
Formation enthalpy at 0 K   -260 meV per atom

```
Ce5Cd2Ir2
1.0
8.676 0.000 0.000
0.000 6.689 0.000
-4.338 -3.345 8.158
Ce Ir Cd
10 4 4
Direct
0.240 0.622 0.907
0.446 0.274 0.678
0.040 0.803 0.500
0.268 0.096 0.322
0.960 0.303 0.500
0.732 0.774 0.678
0.554 0.596 0.322
0.833 0.214 0.093
0.760 0.714 0.093
0.167 0.122 0.907
0.500 0.367 0.000
0.745 0.014 0.500
0.255 0.514 0.500
0.000 0.867 0.000
0.146 0.570 0.192
0.547 0.070 0.192
0.854 0.377 0.808
0.453 0.877 0.808
```

No. 4
Crystalline CsKCuBr2 at its relaxed geometry. Source: the Alexandria database, functional PBE-GGA.

Results
Formation energy from raw total energies   -460.6 meV/atom

```
CsKCuBr2
1.0
6.701 0.000 0.000
0.000 5.497 0.000
0.000 0.000 6.701
Br K Cs Cu
2 1 1 1
Direct
0.500 0.000 0.000
0.000 0.000 0.500
0.500 0.500 0.500
0.000 0.000 0.000
0.000 0.500 0.000
```

No. 5
Crystalline Rb3Np3ScTe8 at its relaxed geometry. Source: the Alexandria database, functional PBE-GGA.

Results
Formation energy from raw total energies   -928.9 meV/atom

```
Rb3Np3ScTe8
1.0
-1.667 0.298 8.765
8.319 -1.419 -2.916
-3.529 9.427 -0.991
Rb Np Te Sc
3 3 8 1
Direct
0.000 0.000 0.000
0.000 0.500 0.000
0.500 0.500 0.000
0.000 0.500 0.500
0.500 0.000 0.500
0.500 0.500 0.500
0.267 0.533 0.300
0.225 0.450 0.692
0.741 0.967 0.692
0.225 0.967 0.692
0.733 0.467 0.700
0.259 0.033 0.308
0.775 0.550 0.308
0.775 0.033 0.308
0.000 0.000 0.500
```

No. 6
Crystalline ScPd5Au2 at its relaxed geometry. Source: the Alexandria database, functional PBE-GGA.

Results
Formation enthalpy at 0 K   -475 meV per atom

```
ScPd5Au2
1.0
-2.712 2.124 -2.196
-2.727 -4.808 -1.283
-6.482 1.224 9.190
Pd Au Sc
10 4 2
Direct
0.000 0.983 0.253
0.000 0.000 0.000
0.500 0.265 0.879
0.500 0.765 0.621
0.000 0.017 0.747
0.000 0.517 0.753
0.500 0.235 0.379
0.500 0.735 0.121
0.000 0.500 0.500
0.000 0.483 0.247
0.500 0.266 0.628
0.500 0.234 0.128
0.500 0.766 0.872
0.500 0.734 0.372
0.000 0.500 0.000
0.000 0.000 0.500
```

No. 7
Crystalline LaPu2Pt2Au at its relaxed geometry. Source: the Alexandria database, functional PBE-GGA.

Results
Formation enthalpy at 0 K   -725 meV per atom

```
LaPu2Pt2Au
1.0
-3.205 3.584 -1.619
-1.789 -4.150 2.305
0.434 2.894 5.548
Pu Pt La Au
2 2 1 1
Direct
0.667 0.333 0.311
0.333 0.667 0.689
0.667 0.333 0.795
0.333 0.667 0.205
0.000 0.000 0.000
0.000 0.000 0.500
```

No. 8
Crystalline KHgAu2 at its relaxed geometry. Source: the Alexandria database, functional PBE-GGA.

Results
Formation enthalpy at 0 K   -218 meV per atom

```
KHgAu2
1.0
-5.855 -1.069 -2.428
-4.831 -4.070 1.189
-6.049 0.489 2.118
Hg Au K
1 2 1
Direct
0.543 0.543 0.543
0.943 0.943 0.943
0.270 0.270 0.270
0.743 0.743 0.743
```

Total moment? In order: 0.000; 0.000; 7.318; 0.000; 11.000; 0.000; 11.478; 0.000 Bohr magnetons per cell.